Model one:
Compound: Tb8Hg2Ru
Source: the Alexandria database
Functional: PBE-GGA
Structure: optimized geometry

Output
**M_tot**: 0.00 μB per atom
**V**: 301.8 Å³/f.u.

Lattice parameters (Å, degrees): 8.6434 8.6434 8.6434 146.21 121.47 69.32
With the nearest neighbours (Å) after each atom.
Fractional coordinates of all 11 atoms:
1 Tb 0.1183 0.3488 0.7695  3 Hg 3.10-3.26, 1 Ru 3.13, 4 Tb 3.35-3.42
2 Tb 0.1199 0.1199 0.0000  2 Ru 3.04, 2 Tb 3.27
3 Tb 0.3308 0.0000 0.3308  1 Tb 2.86, 2 Hg 3.19
4 Tb 0.4207 0.6512 0.7695  3 Hg 3.10-3.26, 1 Ru 3.13, 4 Tb 3.35-3.42
5 Tb 0.5793 0.3488 0.2305  3 Hg 3.10-3.26, 1 Ru 3.13, 4 Tb 3.35-3.42
6 Tb 0.6692 0.0000 0.6692  1 Tb 2.86, 2 Hg 3.19
7 Tb 0.8801 0.8801 0.0000  2 Ru 3.04, 2 Tb 3.27
8 Tb 0.8817 0.6512 0.2305  3 Hg 3.10-3.26, 1 Ru 3.13, 4 Tb 3.35-3.42
9 Hg 0.2992 0.7992 0.5000  8 Tb 3.10-3.26
10 Hg 0.7008 0.2008 0.5000  8 Tb 3.10-3.26
11 Ru 0.0000 0.5000 0.5000  8 Tb 3.04-3.13



Model two:
Compound: Tb8Hg2Ru
Source: the Alexandria database
Functional: PBE-GGA
Structure: optimized geometry

Output
**M_tot**: 0.00 μB per atom
**V**: 305.8 Å³/f.u.

Lattice parameters (Å, degrees): 9.2164 9.2164 6.9052 107.88 107.88 33.39
With the nearest neighbours (Å) after each atom.
Fractional coordinates of all 11 atoms:
1 Tb 0.0228 0.0228 0.2878  1 Hg 3.04, 2 Ru 3.11, 3 Tb 3.28-3.35
2 Tb 0.1975 0.1975 0.7976  1 Hg 2.97
3 Tb 0.3466 0.3466 0.5433  1 Ru 2.82, 1 Hg 3.03
4 Tb 0.4106 0.4106 0.0737  1 Ru 2.86
5 Tb 0.5894 0.5894 0.9263  1 Ru 2.86
6 Tb 0.6534 0.6534 0.4567  1 Ru 2.82, 1 Hg 3.03
7 Tb 0.8025 0.8025 0.2024  1 Hg 2.97
8 Tb 0.9772 0.9772 0.7122  1 Hg 3.04, 2 Ru 3.11, 3 Tb 3.28-3.35
9 Hg 0.1840 0.1840 0.2157  5 Tb 2.97-3.26
10 Hg 0.8160 0.8160 0.7843  5 Tb 2.97-3.26
11 Ru 0.5000 0.5000 0.5000  8 Tb 2.82-3.11



Which of them is most stable, and which least? Most stable: model two; least stable: model one.



Model one:
Compound: TbThHgRu
Source: the Alexandria database
Functional: PBE-GGA
Structure: optimized geometry

Output
**M_tot**: 0.00 μB per atom
**V**: 109.3 Å³/f.u.

Lattice parameters (Å, degrees): 7.8853 7.8853 7.8853 30.11 30.11 30.11
With the nearest neighbours (Å) after each atom.
Fractional coordinates of all 4 atoms:
1 Tb 0.0000 0.0000 0.0000  3 Ru 2.84
2 Th 0.2014 0.2014 0.2014  3 Ru 2.75
3 Hg 0.7625 0.7625 0.7625  3 Tb 3.20, 3 Th 3.36
4 Ru 0.5972 0.5972 0.5972  3 Th 2.75, 3 Tb 2.84



Model two:
Compound: TbThHgRu
Source: the Alexandria database
Functional: PBE-GGA
Structure: optimized geometry

Output
**M_tot**: 0.00 μB per atom
**V**: 96.5 Å³/f.u.

Lattice parameters (Å, degrees): 5.1492 5.1492 5.1492 60.00 60.00 60.00
With the nearest neighbours (Å) after each atom.
Fractional coordinates of all 4 atoms:
1 Tb 0.0000 0.0000 0.0000  4 Hg 3.15, 4 Ru 3.15
2 Th 0.5000 0.5000 0.5000  4 Hg 3.15, 4 Ru 3.15
3 Hg 0.7500 0.7500 0.7500  4 Tb 3.15, 4 Th 3.15
4 Ru 0.2500 0.2500 0.2500  4 Th 3.15, 4 Tb 3.15



Which of them is most stable, and which least? Most stable: model one; least stable: model two.



Model one:
Compound: TbYHgRu
Source: the Alexandria database
Functional: PBE-GGA
Structure: optimized geometry

Output
**M_tot**: 0.00 μB per atom
**V**: 90.8 Å³/f.u.

Lattice parameters (Å, degrees): 5.0452 5.0452 5.0452 60.00 60.00 60.00
With the nearest neighbours (Å) after each atom.
Fractional coordinates of all 4 atoms:
1 Tb 0.0000 0.0000 0.0000  4 Hg 3.09, 4 Ru 3.09
2 Y 0.5000 0.5000 0.5000  4 Ru 3.09, 4 Hg 3.09
3 Hg 0.2500 0.2500 0.2500  4 Y 3.09, 4 Tb 3.09
4 Ru 0.7500 0.7500 0.7500  4 Y 3.09, 4 Tb 3.09



Model two:
Compound: TbYHgRu
Source: the Alexandria database
Functional: PBE-GGA
Structure: optimized geometry

Output
**M_tot**: 0.00 μB per atom
**V**: 91.8 Å³/f.u.

Lattice parameters (Å, degrees): 3.4935 3.4935 7.5226 90.00 90.00 90.00
With the nearest neighbours (Å) after each atom.
Fractional coordinates of all 4 atoms:
1 Tb 0.0000 0.0000 0.0000  4 Ru 2.97, 4 Hg 3.25, 1 Y 3.32
2 Y 0.0000 0.0000 0.5584  4 Ru 2.98, 4 Hg 3.23, 1 Tb 3.32
3 Hg 0.5000 0.5000 0.2808  4 Y 3.23, 4 Tb 3.25, 4 Hg 3.49
4 Ru 0.5000 0.5000 0.7808  4 Tb 2.97, 4 Y 2.98



Which of them is most stable, and which least? Most stable: model two; least stable: model one.



Model one:
Compound: TcHgRu
Source: the Alexandria database
Functional: PBE-GGA
Structure: optimized geometry

Output
**M_tot**: 0.00 μB per atom
**V**: 50.5 Å³/f.u.

Lattice parameters (Å, degrees): 7.6169 7.3667 2.8162 84.22 74.20 21.58
With the nearest neighbours (Å) after each atom.
Fractional coordinates of all 3 atoms:
1 Tc 0.0000 0.0000 0.0000  2 Ru 2.52, 4 Tc 2.82
2 Hg 0.3200 0.3200 0.6800  6 Hg 2.82-2.89, 2 Ru 2.94, 2 Tc 2.98
3 Ru 0.6430 0.6430 0.3570  2 Tc 2.52, 4 Ru 2.82



Model two:
Compound: TcHgRu
Source: the Alexandria database
Functional: PBE-GGA
Structure: optimized geometry

Output
**M_tot**: 0.00 μB per atom
**V**: 49.3 Å³/f.u.

Lattice parameters (Å, degrees): 2.8455 2.8455 7.0321 90.00 90.00 120.00
With the nearest neighbours (Å) after each atom.
Fractional coordinates of all 3 atoms:
1 Tc 0.0000 0.0000 0.0000  3 Ru 2.58, 6 Tc 2.85
2 Hg 0.6667 0.3333 0.3605  6 Hg 2.85, 3 Ru 3.00, 3 Tc 3.02
3 Ru 0.3333 0.6667 0.7175  3 Tc 2.58, 6 Ru 2.85



Which of them is most stable, and which least? Most stable: model two; least stable: model one.